A plane-wave DFT calculation with GGA-PBE was carried out for crystalline ZrMnSi2 at its relaxed geometry.

Summary:
As for the total energy: -7.339 eV per atom. Its space group is C2/m (12). Its raw formation energy is -19 kJ/mol of atoms.

extended XYZ file:
```
4
Lattice="2.882 -3.788 0.000 2.882 3.788 0.000 -0.347 0.000 2.906" Properties=species:S:1:pos:R:3 pbc="T T T"
Zr 0.000 0.000 0.000
Mn 2.882 0.000 0.000
Si 1.267 1.894 1.453
Si 1.267 -1.894 1.453
```


A plane-wave DFT calculation with GGA-PBE was carried out for crystalline Rb3NbBr at its relaxed geometry.

Summary:
As for the total energy: -2.580 eV per atom. Its space group is Pm-3m (221). Its raw formation energy is 34 kJ/mol of atoms. The energy above the most stable polymorph in this dataset is 0.0 kJ/mol of atoms.

extended XYZ file:
```
5
Lattice="6.536 0.000 0.000 0.000 6.536 0.000 0.000 0.000 6.536" Properties=species:S:1:pos:R:3 pbc="T T T"
Rb 0.000 0.000 3.268
Rb 0.000 3.268 0.000
Rb 3.268 0.000 0.000
Nb 3.268 3.268 3.268
Br 0.000 0.000 0.000
```


A plane-wave DFT calculation with GGA-PBE was carried out for crystalline VCdAu at its relaxed geometry.

Summary:
As for the total energy: -4.459 eV per atom. Its space group is P4/nmm (129). Its formation enthalpy at 0 K is -0.1 eV per formula unit. The energy above the most stable polymorph in this dataset is 0.0 kJ/mol of atoms.

extended XYZ file:
```
6
Lattice="3.164 0.000 0.000 0.000 3.164 0.000 0.000 0.000 10.594" Properties=species:S:1:pos:R:3 pbc="T T T"
V 0.791 0.791 0.593
V 2.373 2.373 10.001
Cd 0.791 0.791 4.206
Cd 2.373 2.373 6.388
Au 0.791 0.791 8.320
Au 2.373 2.373 2.274
```


A plane-wave DFT calculation with GGA-PBE was carried out for crystalline Li4Er3AsS8 at its relaxed geometry.

Summary:
As for the total energy: -5.211 eV per atom. Its space group is R-3m (166). Its raw formation energy is -147 kJ/mol of atoms.

extended XYZ file:
```
16
Lattice="3.838 2.216 6.149 -3.838 2.216 6.149 0.000 -4.431 6.149" Properties=species:S:1:pos:R:3 pbc="T T T"
Li 0.000 0.000 0.000
Li -1.919 -1.108 6.149
Li -1.919 1.108 12.298
Li 0.000 2.216 6.149
Er -3.838 0.000 9.223
Er -1.919 1.108 3.074
Er 1.919 1.108 3.074
As 0.000 0.000 9.223
S 0.000 0.000 4.610
S 0.000 -2.144 7.714
S -1.857 1.072 7.714
S -1.857 -1.072 10.733
S 1.857 1.072 7.714
S 1.857 -1.072 10.733
S 0.000 2.144 10.733
S 0.000 0.000 13.837
```


A plane-wave DFT calculation with GGA-PBE was carried out for crystalline Hf2Zr3Zn at its relaxed geometry.

Summary:
As for the total energy: -7.868 eV per atom. Its space group is P4/mmm (123). Its formation enthalpy at 0 K is -0.4 eV per formula unit. The energy above the most stable polymorph in this dataset is 0.0 kJ/mol of atoms.

extended XYZ file:
```
6
Lattice="3.212 0.000 0.000 0.000 3.212 0.000 0.000 0.000 12.580" Properties=species:S:1:pos:R:3 pbc="T T T"
Hf 0.000 0.000 2.243
Hf 0.000 0.000 10.337
Zr 1.606 1.606 0.000
Zr 1.606 1.606 4.417
Zr 1.606 1.606 8.163
Zn 0.000 0.000 6.290
```


A plane-wave DFT calculation with GGA-PBE was carried out for crystalline Bi2TeC at its relaxed geometry.

Summary:
As for the total energy: -4.181 eV per atom. Its space group is I-42d (122). Its raw formation energy is 82 kJ/mol of atoms. The energy above the most stable polymorph in this dataset is 0.0 kJ/mol of atoms.

extended XYZ file:
```
8
Lattice="-3.587 3.587 4.340 3.587 -3.587 4.340 3.587 3.587 -4.340" Properties=species:S:1:pos:R:3 pbc="T T T"
Bi 1.793 1.148 -1.085
Bi 2.439 -1.793 5.425
Bi 1.793 2.439 3.255
Bi 1.148 5.380 1.085
Te 3.587 0.000 2.170
Te 0.000 0.000 4.340
C 0.000 0.000 0.000
C 0.000 3.587 2.170
```


A plane-wave DFT calculation with GGA-PBE was carried out for crystalline La6PmPr2Dy at its relaxed geometry.

Summary:
As for the total energy: -4.742 eV per atom. Its space group is C2/c (15). Its formation enthalpy at 0 K is 1.1 eV per formula unit.

extended XYZ file:
```
20
Lattice="4.964 -7.743 0.000 4.964 7.743 0.000 -0.081 0.000 9.332" Properties=species:S:1:pos:R:3 pbc="T T T"
La 2.430 3.385 6.356
La 4.162 5.446 8.454
La 5.644 5.446 5.544
La 4.216 2.287 0.856
La 5.671 2.287 3.810
La 2.470 -3.385 1.690
La 7.376 3.385 7.642
La 4.176 -2.287 5.522
La 5.630 -2.287 8.476
La 4.203 -5.446 3.788
La 5.685 -5.446 0.878
La 7.417 -3.385 2.976
Pm 4.944 6.639 2.333
Pm 4.903 -6.639 6.999
Pr 2.459 0.694 4.071
Pr 2.418 -0.694 8.737
Pr 7.429 0.694 0.595
Pr 7.388 -0.694 5.261
Dy 4.903 1.057 6.999
Dy 4.944 -1.057 2.333
```


A plane-wave DFT calculation with GGA-PBE was carried out for crystalline Zn2Ni5Ir at its relaxed geometry.

Summary:
As for the total energy: -5.119 eV per atom. Its space group is Pbam (55). Its formation enthalpy at 0 K is -0.6 eV per formula unit. The energy above the most stable polymorph in this dataset is 0.5 kJ/mol of atoms.

extended XYZ file:
```
16
Lattice="5.180 0.000 0.000 0.000 10.331 0.000 0.000 0.000 3.585" Properties=species:S:1:pos:R:3 pbc="T T T"
Zn 1.241 1.343 0.000
Zn 1.349 6.509 0.000
Zn 3.831 3.822 0.000
Zn 3.939 8.988 0.000
Ni 0.000 0.000 1.793
Ni 5.178 2.587 1.793
Ni 0.003 7.744 1.793
Ni 1.291 9.040 0.000
Ni 1.299 3.875 0.000
Ni 2.588 2.579 1.793
Ni 2.590 5.165 1.793
Ni 2.593 7.752 1.793
Ni 3.881 6.456 0.000
Ni 3.889 1.290 0.000
Ir 0.000 5.165 1.793
Ir 2.590 0.000 1.793
```